1.
Density functional theory data (PBE-GGA) for an optimized crystal structure of PdO.

Summary:
formation energy (no corrections) = 17 meV/atom
total magnetic moment = 0.00 μB per cell
DOS(E_F) = 2.3 states/eV per cell

abc: 2.993 2.993 6.620
angles: 90.00 90.00 120.00
Fractional coordinates of all 4 atoms:
1 Pd 0.333 0.667 0.000
2 Pd 0.667 0.333 0.500
3 O 0.333 0.667 0.700
4 O 0.667 0.333 0.200

***

2.
Density functional theory data (PBE-GGA) for an optimized crystal structure of Pd7O8.

Summary:
formation energy (no corrections) = -341 meV/atom
total magnetic moment = 2.83 μB per cell
DOS(E_F) = 5.1 states/eV per cell

abc: 5.754 5.754 5.754
angles: 90.00 90.00 90.00
Fractional coordinates of all 15 atoms:
1 Pd 0.000 0.000 0.000
2 Pd 0.000 0.254 0.500
3 Pd 0.000 0.746 0.500
4 Pd 0.254 0.500 0.000
5 Pd 0.500 0.000 0.254
6 Pd 0.500 0.000 0.746
7 Pd 0.746 0.500 0.000
8 O 0.235 0.235 0.235
9 O 0.235 0.235 0.765
10 O 0.235 0.765 0.235
11 O 0.235 0.765 0.765
12 O 0.765 0.235 0.235
13 O 0.765 0.235 0.765
14 O 0.765 0.765 0.235
15 O 0.765 0.765 0.765

***

3.
Density functional theory data (PBE-GGA) for an optimized crystal structure of PdO2.

Summary:
formation energy (no corrections) = -321 meV/atom
total magnetic moment = 0.00 μB per cell
DOS(E_F) = 0.0 states/eV per cell

abc: 3.102 3.102 10.582
angles: 90.43 90.43 120.00
Fractional coordinates of all 6 atoms:
1 Pd 0.000 0.000 0.000
2 Pd 0.000 0.000 0.500
3 O 0.329 0.662 0.907
4 O 0.338 0.671 0.593
5 O 0.662 0.329 0.407
6 O 0.671 0.338 0.093

***

4.
Density functional theory data (PBE-GGA) for an optimized crystal structure of PdO2.

Summary:
formation energy (no corrections) = -20 meV/atom
total magnetic moment = 0.00 μB per cell
DOS(E_F) = 2.4 states/eV per cell

abc: 3.553 3.553 3.553
angles: 60.00 60.00 60.00
Fractional coordinates of all 3 atoms:
1 Pd 0.000 0.000 0.000
2 O 0.250 0.250 0.250
3 O 0.750 0.750 0.750

***

5.
Density functional theory data (PBE-GGA) for an optimized crystal structure of PdO.

Summary:
formation energy (no corrections) = 167 meV/atom
total magnetic moment = 0.02 μB per cell
DOS(E_F) = 3.3 states/eV per cell

abc: 3.460 3.460 3.460
angles: 60.00 60.00 60.00
Fractional coordinates of all 2 atoms:
1 Pd 0.000 0.000 0.000
2 O 0.250 0.250 0.250

***

6.
Density functional theory data (PBE-GGA) for an optimized crystal structure of PdO.

Summary:
formation energy (no corrections) = -216 meV/atom
total magnetic moment = 0.00 μB per cell
DOS(E_F) = 1.5 states/eV per cell

abc: 5.415 5.421 6.858
angles: 90.00 90.00 90.00
Fractional coordinates of all 16 atoms:
1 Pd 0.206 0.003 0.390
2 Pd 0.246 0.460 0.248
3 Pd 0.254 0.540 0.748
4 Pd 0.294 0.997 0.890
5 Pd 0.706 0.497 0.610
6 Pd 0.746 0.040 0.752
7 Pd 0.754 0.960 0.252
8 Pd 0.794 0.503 0.110
9 O 0.104 0.128 0.651
10 O 0.133 0.644 0.486
11 O 0.367 0.356 0.986
12 O 0.396 0.872 0.151
13 O 0.604 0.372 0.349
14 O 0.633 0.856 0.514
15 O 0.867 0.144 0.014
16 O 0.896 0.628 0.849